This record from Alexandria describes a relaxed structure of Sc2TaMn. The functional is PBE.

Computed properties:
- E_form: 501 meV/atom
- SG: Fm-3m
- Offset from the most stable computed form: 499.5 meV/atom
- E_tot: -7.921 eV/atom

Lattice parameters (Å, degrees): 6.6261 6.6261 6.6261 90.00 90.00 90.00
Sites, in units of the cell vectors:
Sc 0.2500 0.2500 0.2500
Sc 0.2500 0.2500 0.7500
Sc 0.2500 0.7500 0.2500
Sc 0.2500 0.7500 0.7500
Sc 0.7500 0.2500 0.2500
Sc 0.7500 0.2500 0.7500
Sc 0.7500 0.7500 0.2500
Sc 0.7500 0.7500 0.7500
Ta 0.0000 0.0000 0.0000
Ta 0.0000 0.5000 0.5000
Ta 0.5000 0.0000 0.5000
Ta 0.5000 0.5000 0.0000
Mn 0.0000 0.0000 0.5000
Mn 0.0000 0.5000 0.0000
Mn 0.5000 0.0000 0.0000
Mn 0.5000 0.5000 0.5000

---

This record from Alexandria describes a relaxed structure of Sc2TaMn. The functional is PBE.

Computed properties:
- E_form: 177 meV/atom
- SG: Pm
- Offset from the most stable computed form: 175.8 meV/atom
- E_tot: -8.244 eV/atom

Lattice parameters (Å, degrees): 3.0324 4.3999 5.8682 90.00 104.75 90.00
Sites, in units of the cell vectors:
Sc 0.0000 0.0000 0.0000
Sc 0.2945 0.5000 0.6881
Ta 0.6531 0.5000 0.2409
Mn 0.5566 0.0000 0.4511

---

This record from Alexandria describes a relaxed structure of ScTaMn2. The functional is PBE.

Computed properties:
- E_form: 319 meV/atom
- SG: C2/m
- E_tot: -8.812 eV/atom

Lattice parameters (Å, degrees): 8.1178 3.0066 5.3025 90.00 102.11 90.00
Sites, in units of the cell vectors:
Sc 0.0000 0.0000 0.0000
Sc 0.5000 0.5000 0.0000
Ta 0.0000 0.5000 0.5000
Ta 0.5000 0.0000 0.5000
Mn 0.2416 0.0000 0.7099
Mn 0.2584 0.5000 0.2901
Mn 0.7416 0.5000 0.7099
Mn 0.7584 0.0000 0.2901

---

This record from Alexandria describes a relaxed structure of ScTaMn. The functional is PBE.

Computed properties:
- E_form: 197 meV/atom
- SG: Fmm2
- Offset from the most stable computed form: 182.0 meV/atom
- E_tot: -8.921 eV/atom

Lattice parameters (Å, degrees): 3.3247 4.8635 12.7515 90.00 90.00 90.00
Sites, in units of the cell vectors:
Sc 0.0000 0.0000 0.0000
Sc 0.0000 0.5000 0.5000
Sc 0.5000 0.0000 0.5000
Sc 0.5000 0.5000 0.0000
Ta 0.0000 0.0000 0.2948
Ta 0.0000 0.5000 0.7948
Ta 0.5000 0.0000 0.7948
Ta 0.5000 0.5000 0.2948
Mn 0.0000 0.0000 0.6569
Mn 0.0000 0.5000 0.1569
Mn 0.5000 0.0000 0.1569
Mn 0.5000 0.5000 0.6569

---

This record from Alexandria describes a relaxed structure of ScTa2Mn. The functional is PBE.

Computed properties:
- E_form: 248 meV/atom
- SG: R-3m
- Offset from the most stable computed form: 221.0 meV/atom
- E_tot: -9.554 eV/atom

Lattice parameters (Å, degrees): 3.0220 3.0220 26.8884 90.00 90.00 120.00
Sites, in units of the cell vectors:
Sc 0.0000 0.0000 0.0000
Sc 0.3333 0.6667 0.6667
Sc 0.6667 0.3333 0.3333
Ta 0.0000 0.0000 0.2374
Ta 0.0000 0.0000 0.7626
Ta 0.3333 0.6667 0.4293
Ta 0.3333 0.6667 0.9041
Ta 0.6667 0.3333 0.0959
Ta 0.6667 0.3333 0.5707
Mn 0.0000 0.0000 0.5000
Mn 0.3333 0.6667 0.1667
Mn 0.6667 0.3333 0.8333

---

This record from Alexandria describes a relaxed structure of Sc2TaMn. The functional is PBE.

Computed properties:
- E_form: 271 meV/atom
- SG: Pmmm
- Offset from the most stable computed form: 269.6 meV/atom
- E_tot: -8.151 eV/atom

Lattice parameters (Å, degrees): 3.4956 4.5026 4.6990 90.00 90.00 90.00
Sites, in units of the cell vectors:
Sc 0.0000 0.0000 0.0000
Sc 0.5000 0.5000 0.0000
Ta 0.0000 0.5000 0.5000
Mn 0.5000 0.0000 0.5000

---

This record from Alexandria describes a relaxed structure of Sc2TaMn. The functional is PBE.

Computed properties:
- E_form: 446 meV/atom
- SG: R-3m
- Offset from the most stable computed form: 445.2 meV/atom
- E_tot: -7.975 eV/atom

Lattice parameters (Å, degrees): 3.0287 3.0287 30.7648 90.00 90.00 120.00
Sites, in units of the cell vectors:
Sc 0.0000 0.0000 0.0875
Sc 0.0000 0.0000 0.9125
Sc 0.3333 0.6667 0.5792
Sc 0.3333 0.6667 0.7541
Sc 0.6667 0.3333 0.2459
Sc 0.6667 0.3333 0.4208
Ta 0.0000 0.0000 0.5000
Ta 0.3333 0.6667 0.1667
Ta 0.6667 0.3333 0.8333
Mn 0.0000 0.0000 0.0000
Mn 0.3333 0.6667 0.6667
Mn 0.6667 0.3333 0.3333

---

This record from Alexandria describes a relaxed structure of ScTaMnTl2. The functional is PBE.

Computed properties:
- E_form: 1907 meV/atom
- SG: P4/mmm
- E_tot: -4.510 eV/atom

Lattice parameters (Å, degrees): 5.3748 5.3748 4.7767 90.00 90.00 90.00
Sites, in units of the cell vectors:
Sc 0.0000 0.0000 0.0000
Ta 0.0000 0.0000 0.5000
Mn 0.5000 0.5000 0.5000
Tl 0.0000 0.5000 0.0000
Tl 0.5000 0.0000 0.0000

---

This record from Alexandria describes a relaxed structure of TbScMn4. The functional is PBE.

Computed properties:
- E_form: 47 meV/atom
- SG: F-43m
- E_tot: -7.893 eV/atom

Lattice parameters (Å, degrees): 5.0156 5.0156 5.0156 60.00 60.00 60.00
Sites, in units of the cell vectors:
Tb 0.0000 0.0000 0.0000
Sc 0.7500 0.7500 0.7500
Mn 0.3755 0.3755 0.3755
Mn 0.3755 0.3755 0.8735
Mn 0.3755 0.8735 0.3755
Mn 0.8735 0.3755 0.3755

---

This record from Alexandria describes a relaxed structure of TbSc3Mn. The functional is PBE.

Computed properties:
- E_form: 129 meV/atom
- SG: Pm-3m
- E_tot: -6.429 eV/atom

Lattice parameters (Å, degrees): 4.9441 4.9441 4.9441 90.00 90.00 90.00
Sites, in units of the cell vectors:
Tb 0.0000 0.0000 0.0000
Sc 0.0000 0.5000 0.5000
Sc 0.5000 0.0000 0.5000
Sc 0.5000 0.5000 0.0000
Mn 0.5000 0.5000 0.5000

---

This record from Alexandria describes a relaxed structure of TbTmScMn. The functional is PBE.

Computed properties:
- E_form: 224 meV/atom
- SG: F-43m
- E_tot: -5.926 eV/atom

Lattice parameters (Å, degrees): 7.3160 7.3160 7.3160 90.00 90.00 90.00
Sites, in units of the cell vectors:
Tb 0.0000 0.0000 0.0000
Tb 0.0000 0.5000 0.5000
Tb 0.5000 0.0000 0.5000
Tb 0.5000 0.5000 0.0000
Tm 0.0000 0.0000 0.5000
Tm 0.0000 0.5000 0.0000
Tm 0.5000 0.0000 0.0000
Tm 0.5000 0.5000 0.5000
Sc 0.2500 0.2500 0.2500
Sc 0.2500 0.7500 0.7500
Sc 0.7500 0.2500 0.7500
Sc 0.7500 0.7500 0.2500
Mn 0.2500 0.2500 0.7500
Mn 0.2500 0.7500 0.2500
Mn 0.7500 0.2500 0.2500
Mn 0.7500 0.7500 0.7500

---

This record from Alexandria describes a relaxed structure of TbScMnZn. The functional is PBE.

Computed properties:
- E_form: -52 meV/atom
- SG: F-43m
- E_tot: -5.404 eV/atom

Lattice parameters (Å, degrees): 6.8862 6.8862 6.8862 90.00 90.00 90.00
Sites, in units of the cell vectors:
Tb 0.0000 0.0000 0.0000
Tb 0.0000 0.5000 0.5000
Tb 0.5000 0.0000 0.5000
Tb 0.5000 0.5000 0.0000
Sc 0.0000 0.0000 0.5000
Sc 0.0000 0.5000 0.0000
Sc 0.5000 0.0000 0.0000
Sc 0.5000 0.5000 0.5000
Mn 0.2500 0.2500 0.2500
Mn 0.2500 0.7500 0.7500
Mn 0.7500 0.2500 0.7500
Mn 0.7500 0.7500 0.2500
Zn 0.2500 0.2500 0.7500
Zn 0.2500 0.7500 0.2500
Zn 0.7500 0.2500 0.2500
Zn 0.7500 0.7500 0.7500

---

This record from Alexandria describes a relaxed structure of Sc3MnTc. The functional is PBE.

Computed properties:
- E_form: 809 meV/atom
- SG: Pm-3m
- E_tot: -6.897 eV/atom

Lattice parameters (Å, degrees): 4.8774 4.8774 4.8774 90.00 90.00 90.00
Sites, in units of the cell vectors:
Sc 0.0000 0.0000 0.5000
Sc 0.0000 0.5000 0.0000
Sc 0.5000 0.0000 0.0000
Mn 0.5000 0.5000 0.5000
Tc 0.0000 0.0000 0.0000

---

This record from Alexandria describes a relaxed structure of ScMn2Tc. The functional is PBE.

Computed properties:
- E_form: 331 meV/atom
- SG: R-3m
- Offset from the most stable computed form: 302.8 meV/atom
- E_tot: -8.429 eV/atom

Lattice parameters (Å, degrees): 2.8427 2.8427 25.9411 90.00 90.00 120.00
Sites, in units of the cell vectors:
Sc 0.0000 0.0000 0.0000
Sc 0.3333 0.6667 0.6667
Sc 0.6667 0.3333 0.3333
Mn 0.0000 0.0000 0.2440
Mn 0.0000 0.0000 0.7560
Mn 0.3333 0.6667 0.4226
Mn 0.3333 0.6667 0.9107
Mn 0.6667 0.3333 0.0893
Mn 0.6667 0.3333 0.5774
Tc 0.0000 0.0000 0.5000
Tc 0.3333 0.6667 0.1667
Tc 0.6667 0.3333 0.8333

---

This record from Alexandria describes a relaxed structure of Sc2Mn2Tc. The functional is PBE.

Computed properties:
- E_form: 745 meV/atom
- SG: I4/mmm
- Offset from the most stable computed form: 789.6 meV/atom
- E_tot: -7.529 eV/atom

Lattice parameters (Å, degrees): 3.8268 3.8268 11.4812 90.00 90.00 90.00
Sites, in units of the cell vectors:
Sc 0.0000 0.5000 0.2500
Sc 0.0000 0.5000 0.7500
Sc 0.5000 0.0000 0.2500
Sc 0.5000 0.0000 0.7500
Mn 0.0000 0.0000 0.0874
Mn 0.0000 0.0000 0.9126
Mn 0.5000 0.5000 0.4126
Mn 0.5000 0.5000 0.5874
Tc 0.0000 0.0000 0.5000
Tc 0.5000 0.5000 0.0000

---

This record from Alexandria describes a relaxed structure of ScMnTc2. The functional is PBE.

Computed properties:
- E_form: 28 meV/atom
- SG: Pmmm
- Offset from the most stable computed form: 58.7 meV/atom
- E_tot: -9.031 eV/atom

Lattice parameters (Å, degrees): 3.0933 4.3910 4.4119 90.00 90.00 90.00
Sites, in units of the cell vectors:
Sc 0.0000 0.0000 0.0000
Mn 0.5000 0.0000 0.5000
Tc 0.0000 0.5000 0.5000
Tc 0.5000 0.5000 0.0000

---

This record from Alexandria describes a relaxed structure of ScMnTc2. The functional is PBE.

Computed properties:
- E_form: 61 meV/atom
- SG: C2/m
- Offset from the most stable computed form: 91.7 meV/atom
- E_tot: -8.998 eV/atom

Lattice parameters (Å, degrees): 5.3933 8.6975 2.7362 90.00 110.77 90.00
Sites, in units of the cell vectors:
Sc 0.0000 0.0000 0.0000
Sc 0.5000 0.5000 0.0000
Mn 0.0000 0.5000 0.0000
Mn 0.5000 0.0000 0.0000
Tc 0.2500 0.2500 0.5000
Tc 0.2500 0.7500 0.5000
Tc 0.7500 0.2500 0.5000
Tc 0.7500 0.7500 0.5000

---

This record from Alexandria describes a relaxed structure of ScMn2Tc. The functional is PBE.

Computed properties:
- E_form: 445 meV/atom
- SG: I-42d
- Offset from the most stable computed form: 417.4 meV/atom
- E_tot: -8.314 eV/atom

Lattice parameters (Å, degrees): 6.9594 6.9594 5.3586 90.00 90.00 90.00
Sites, in units of the cell vectors:
Sc 0.0000 0.0000 0.0000
Sc 0.0000 0.5000 0.2500
Sc 0.5000 0.0000 0.7500
Sc 0.5000 0.5000 0.5000
Mn 0.2097 0.2500 0.6250
Mn 0.2500 0.7097 0.8750
Mn 0.2500 0.7903 0.3750
Mn 0.2903 0.2500 0.1250
Mn 0.7097 0.7500 0.1250
Mn 0.7500 0.2097 0.3750
Mn 0.7500 0.2903 0.8750
Mn 0.7903 0.7500 0.6250
Tc 0.0000 0.0000 0.5000
Tc 0.0000 0.5000 0.7500
Tc 0.5000 0.0000 0.2500
Tc 0.5000 0.5000 0.0000

---

This record from Alexandria describes a relaxed structure of ScMnTc3. The functional is PBE.

Computed properties:
- E_form: 2170 meV/atom
- SG: Pm-3m
- Offset from the most stable computed form: 1501.3 meV/atom
- E_tot: -7.150 eV/atom

Lattice parameters (Å, degrees): 4.4824 4.4824 4.4824 90.00 90.00 90.00
Sites, in units of the cell vectors:
Sc 0.0000 0.0000 0.0000
Mn 0.5000 0.5000 0.5000
Tc 0.0000 0.0000 0.5000
Tc 0.0000 0.5000 0.0000
Tc 0.5000 0.0000 0.0000

---

This record from Alexandria describes a relaxed structure of ScMnTc2. The functional is PBE.

Computed properties:
- E_form: 68 meV/atom
- SG: P2/m
- Offset from the most stable computed form: 99.2 meV/atom
- E_tot: -8.990 eV/atom

Lattice parameters (Å, degrees): 2.7961 4.3231 5.0233 90.00 99.31 90.00
Sites, in units of the cell vectors:
Sc 0.0000 0.0000 0.0000
Mn 0.5000 0.0000 0.5000
Tc 0.2775 0.5000 0.7405
Tc 0.7225 0.5000 0.2595